[1]
## Mg4H6Pd7 (GGA-PBE)

Data for a relaxed Mg4H6Pd7 crystal.

- DOS at the Fermi energy: 0.31 states/eV per atom
- Uncorrected energy: -3.686 eV/atom

Cell: 6.6339 6.6339 6.6339 Å, 109.47 109.47 109.47°
Last column: nearest neighbours and their distance in Å.
Fractional coordinates of all 17 atoms:
Pd 0.2500 0.5000 0.7500  4 Mg 2.71, 4 Pd 2.71, 4 H 2.88
Pd 0.7500 0.5000 0.2500  4 Mg 2.71, 4 Pd 2.71, 4 H 2.88
Pd 0.2500 0.7500 0.5000  4 Pd 2.71, 4 Mg 2.71, 4 H 2.88
Pd 0.7500 0.2500 0.5000  4 Pd 2.71, 4 Mg 2.71, 4 H 2.88
Pd 0.0000 0.0000 0.0000  6 H 1.68
Pd 0.5000 0.2500 0.7500  4 Pd 2.71, 4 Mg 2.71, 4 H 2.88
Pd 0.5000 0.7500 0.2500  4 Pd 2.71, 4 Mg 2.71, 4 H 2.88
H 0.7804 0.7804 0.0000  1 Pd 1.68
H 0.0000 0.2196 0.2196  1 Pd 1.68
H 0.2196 0.2196 0.0000  1 Pd 1.68
H 0.7804 0.0000 0.7804  1 Pd 1.68
H 0.0000 0.7804 0.7804  1 Pd 1.68
H 0.2196 0.0000 0.2196  1 Pd 1.68
Mg 0.5000 0.0000 0.0000  6 Pd 2.71, 6 H 2.72
Mg 0.5000 0.5000 0.5000  6 Pd 2.71, 6 H 2.72
Mg 0.0000 0.5000 0.0000  6 Pd 2.71, 6 H 2.72
Mg 0.0000 0.0000 0.5000  6 Pd 2.71, 6 H 2.72


[2]
## MgH4Pd3 (GGA-PBE)

Data for a relaxed MgH4Pd3 crystal.

- DOS at the Fermi energy: 0.22 states/eV per atom
- Uncorrected energy: -4.053 eV/atom

Cell: 4.1125 4.6691 4.1668 Å, 86.98 87.07 92.66°
Last column: nearest neighbours and their distance in Å.
Fractional coordinates of all 8 atoms:
Pd 0.0000 0.0001 0.9999  4 H 1.80-1.81
Pd 0.0000 0.5001 0.5000  4 H 1.80
Pd 0.4999 0.0001 0.5000  4 H 1.80-1.82
Mg 0.5000 0.5001 0.0000  4 H 2.11-2.12
H 0.7674 0.7657 0.2980  3 Pd 1.80-1.81
H 0.8017 0.2343 0.2688  3 Pd 1.80-1.82
H 0.2325 0.2345 0.7019  3 Pd 1.80-1.81
H 0.1982 0.7659 0.7312  3 Pd 1.80-1.82


[3]
## PmMgH6Pd2 (GGA-PBE)

Data for a relaxed PmMgH6Pd2 crystal.

- DOS at the Fermi energy: 0.21 states/eV per atom
- Uncorrected energy: -4.027 eV/atom

Cell: 4.5887 4.5887 6.0221 Å, 67.61 67.61 60.00°
Last column: nearest neighbours and their distance in Å.
Fractional coordinates of all 10 atoms:
H 0.5559 0.0743 0.8137  1 Pd 1.69
H 0.5561 0.5559 0.8137  1 Pd 1.69
H 0.0743 0.5561 0.8137  1 Pd 1.69
H 0.9257 0.4439 0.1863  1 Pd 1.69
H 0.4439 0.4441 0.1863  1 Pd 1.69
H 0.4441 0.9257 0.1863  1 Pd 1.69
Pd 0.7892 0.7892 0.6323  3 H 1.69
Pd 0.2108 0.2108 0.3677  3 H 1.69
Mg 0.5000 0.5000 0.5000  6 H 2.12
Pm 0.0000 0.0000 0.0000  12 H 2.51


[4]
## PmMgH6Pd4 (GGA-PBE)

Data for a relaxed PmMgH6Pd4 crystal.

- DOS at the Fermi energy: 0.39 states/eV per atom
- Uncorrected energy: -4.254 eV/atom

Cell: 4.7414 4.7414 6.9030 Å, 90.00 90.00 120.00°
Last column: nearest neighbours and their distance in Å.
Fractional coordinates of all 12 atoms:
H 0.0000 0.5000 0.6428  2 Pd 1.76, 1 H 1.97
H 0.0000 0.5000 0.3572  2 Pd 1.76, 1 H 1.97
H 0.5000 0.5000 0.6428  2 Pd 1.76, 1 H 1.97
H 0.5000 0.5000 0.3572  2 Pd 1.76, 1 H 1.97
H 0.5000 0.0000 0.3572  2 Pd 1.76, 1 H 1.97
H 0.5000 0.0000 0.6428  2 Pd 1.76, 1 H 1.97
Pd 0.6667 0.3333 0.1966  3 H 1.76
Pd 0.6667 0.3333 0.8034  3 H 1.76
Pd 0.3333 0.6667 0.1966  3 H 1.76
Pd 0.3333 0.6667 0.8034  3 H 1.76
Mg 0.0000 0.0000 0.0000  12 Pd 3.06, 12 H 3.42
Pm 0.0000 0.0000 0.5000  12 H 2.57